Entry 1:
A plane-wave DFT calculation with GGA-PBE was carried out for a relaxed structure of Al3CuC.

```
data_Al3CuC
_chemical_formula_sum 'Al3 Cu1 C1'
_symmetry_space_group_name_H-M 'P 1'
_symmetry_Int_Tables_number 1
_cell_length_a 4.457
_cell_length_b 4.457
_cell_length_c 4.457
_cell_angle_alpha 90.00
_cell_angle_beta 90.00
_cell_angle_gamma 90.00
loop_
_symmetry_equiv_pos_as_xyz
'x,y,z'
loop_
_atom_site_label
_atom_site_fract_x
_atom_site_fract_y
_atom_site_fract_z
_atom_site_occupancy
Al1 0.000 0.000 0.500 1
Cu1 0.000 0.000 0.000 1
Al2 0.000 0.500 0.000 1
Al3 0.500 0.000 0.000 1
C1 0.500 0.500 0.500 1
```

As for the electronic total energy: -17.9 eV per cell. The energy of formation from the pure elements is 1.32 eV per atom. Its symmetry is Pm-3m. As for the energy relative to the lowest polymorph listed for this composition: 1036 meV per atom.

Entry 2:
A plane-wave DFT calculation with GGA-PBE was carried out for a relaxed structure of AlFe2CuC.

```
data_AlFe2CuC
_chemical_formula_sum 'Al1 Fe2 Cu1 C1'
_symmetry_space_group_name_H-M 'P 1'
_symmetry_Int_Tables_number 1
_cell_length_a 3.749
_cell_length_b 3.749
_cell_length_c 3.865
_cell_angle_alpha 90.00
_cell_angle_beta 90.00
_cell_angle_gamma 90.00
loop_
_symmetry_equiv_pos_as_xyz
'x,y,z'
loop_
_atom_site_label
_atom_site_fract_x
_atom_site_fract_y
_atom_site_fract_z
_atom_site_occupancy
Cu1 0.000 0.000 0.500 1
Fe1 0.500 0.000 0.000 1
C1 0.000 0.000 0.000 1
Fe2 0.000 0.500 0.000 1
Al1 0.500 0.500 0.500 1
```

As for the electronic total energy: -33.9 eV per cell. The energy of formation from the pure elements is 0.02 eV per atom. Its symmetry is P4/mmm.

Entry 3:
A plane-wave DFT calculation with GGA-PBE was carried out for a relaxed structure of Hf2AlCuC.

```
data_Hf2AlCuC
_chemical_formula_sum 'Hf2 Al1 Cu1 C1'
_symmetry_space_group_name_H-M 'P 1'
_symmetry_Int_Tables_number 1
_cell_length_a 4.485
_cell_length_b 3.888
_cell_length_c 4.485
_cell_angle_alpha 90.00
_cell_angle_beta 90.00
_cell_angle_gamma 90.00
loop_
_symmetry_equiv_pos_as_xyz
'x,y,z'
loop_
_atom_site_label
_atom_site_fract_x
_atom_site_fract_y
_atom_site_fract_z
_atom_site_occupancy
C1 0.000 0.000 0.000 1
Cu1 0.500 0.500 0.500 1
Al1 0.000 0.500 0.000 1
Hf1 0.000 0.000 0.500 1
Hf2 0.500 0.000 0.000 1
```

As for the electronic total energy: -38.2 eV per cell. The energy of formation from the pure elements is -0.25 eV per atom. Its symmetry is P4/mmm.

Entry 4:
A plane-wave DFT calculation with GGA-PBE was carried out for a relaxed structure of Mn2AlCuC.

```
data_Mn2AlCuC
_chemical_formula_sum 'Mn2 Al1 Cu1 C1'
_symmetry_space_group_name_H-M 'P 1'
_symmetry_Int_Tables_number 1
_cell_length_a 3.819
_cell_length_b 3.819
_cell_length_c 3.911
_cell_angle_alpha 90.00
_cell_angle_beta 90.00
_cell_angle_gamma 90.00
loop_
_symmetry_equiv_pos_as_xyz
'x,y,z'
loop_
_atom_site_label
_atom_site_fract_x
_atom_site_fract_y
_atom_site_fract_z
_atom_site_occupancy
C1 0.000 0.000 0.000 1
Cu1 0.000 0.000 0.500 1
Mn1 0.500 0.000 0.000 1
Mn2 0.000 0.500 0.000 1
Al1 0.500 0.500 0.500 1
```

As for the electronic total energy: -35.5 eV per cell. The energy of formation from the pure elements is -0.03 eV per atom. Its symmetry is P4/mmm.

Entry 5:
A plane-wave DFT calculation with GGA-PBE was carried out for a relaxed structure of AlCuOsC2.

```
data_AlCuOsC2
_chemical_formula_sum 'Al1 Cu1 Os1 C2'
_symmetry_space_group_name_H-M 'P 1'
_symmetry_Int_Tables_number 1
_cell_length_a 3.671
_cell_length_b 4.862
_cell_length_c 3.671
_cell_angle_alpha 90.00
_cell_angle_beta 90.00
_cell_angle_gamma 90.00
loop_
_symmetry_equiv_pos_as_xyz
'x,y,z'
loop_
_atom_site_label
_atom_site_fract_x
_atom_site_fract_y
_atom_site_fract_z
_atom_site_occupancy
C1 0.000 0.000 0.500 1
Al1 0.000 0.500 0.000 1
Cu1 0.000 0.000 0.000 1
C2 0.500 0.000 0.000 1
Os1 0.500 0.500 0.500 1
```

As for the electronic total energy: -26.5 eV per cell. The energy of formation from the pure elements is 2.20 eV per atom. Its symmetry is P4/mmm.

Entry 6:
A plane-wave DFT calculation with GGA-PBE was carried out for a relaxed structure of PmAlCuC.

```
data_PmAlCuC
_chemical_formula_sum 'Pm2 Al2 Cu2 C2'
_symmetry_space_group_name_H-M 'P 1'
_symmetry_Int_Tables_number 1
_cell_length_a 3.743
_cell_length_b 3.743
_cell_length_c 9.677
_cell_angle_alpha 90.00
_cell_angle_beta 90.00
_cell_angle_gamma 90.00
loop_
_symmetry_equiv_pos_as_xyz
'x,y,z'
loop_
_atom_site_label
_atom_site_fract_x
_atom_site_fract_y
_atom_site_fract_z
_atom_site_occupancy
Cu1 0.000 0.000 0.500 1
C1 0.500 0.000 0.874 1
Pm1 0.000 0.500 0.868 1
C2 0.000 0.500 0.126 1
Al1 0.500 0.000 0.675 1
Pm2 0.500 0.000 0.132 1
Cu2 0.500 0.500 0.500 1
Al2 0.000 0.500 0.325 1
```

As for the electronic total energy: -44.9 eV per cell. The energy of formation from the pure elements is -0.15 eV per atom. Its symmetry is P4/nmm.

Entry 7:
A plane-wave DFT calculation with GGA-PBE was carried out for a relaxed structure of Sc2AlCuC.

```
data_Sc2AlCuC
_chemical_formula_sum 'Sc2 Al1 Cu1 C1'
_symmetry_space_group_name_H-M 'P 1'
_symmetry_Int_Tables_number 1
_cell_length_a 4.501
_cell_length_b 4.501
_cell_length_c 3.959
_cell_angle_alpha 90.00
_cell_angle_beta 90.00
_cell_angle_gamma 90.00
loop_
_symmetry_equiv_pos_as_xyz
'x,y,z'
loop_
_atom_site_label
_atom_site_fract_x
_atom_site_fract_y
_atom_site_fract_z
_atom_site_occupancy
Sc1 0.500 0.000 0.000 1
Cu1 0.000 0.000 0.500 1
Al1 0.500 0.500 0.500 1
Sc2 0.000 0.500 0.000 1
C1 0.000 0.000 0.000 1
```

As for the electronic total energy: -31.0 eV per cell. The energy of formation from the pure elements is -0.25 eV per atom. Its symmetry is P4/mmm. As for the energy relative to the lowest polymorph listed for this composition: 54 meV per atom.

Entry 8:
A plane-wave DFT calculation with GGA-PBE was carried out for a relaxed structure of Sc2AlCuC.

```
data_Sc2AlCuC
_chemical_formula_sum 'Sc2 Al1 Cu1 C1'
_symmetry_space_group_name_H-M 'P 1'
_symmetry_Int_Tables_number 1
_cell_length_a 4.527
_cell_length_b 4.527
_cell_length_c 3.892
_cell_angle_alpha 90.00
_cell_angle_beta 90.00
_cell_angle_gamma 90.00
loop_
_symmetry_equiv_pos_as_xyz
'x,y,z'
loop_
_atom_site_label
_atom_site_fract_x
_atom_site_fract_y
_atom_site_fract_z
_atom_site_occupancy
Al1 0.000 0.000 0.500 1
Sc1 0.500 0.000 0.000 1
C1 0.000 0.000 0.000 1
Sc2 0.000 0.500 0.000 1
Cu1 0.500 0.500 0.500 1
```

As for the electronic total energy: -31.2 eV per cell. The energy of formation from the pure elements is -0.30 eV per atom. Its symmetry is P4/mmm. As for the energy relative to the lowest polymorph listed for this composition: 0 meV per atom.

Entry 9:
A plane-wave DFT calculation with GGA-PBE was carried out for a relaxed structure of ThAlCuC.

```
data_ThAlCuC
_chemical_formula_sum 'Th2 Al2 Cu2 C2'
_symmetry_space_group_name_H-M 'P 1'
_symmetry_Int_Tables_number 1
_cell_length_a 3.822
_cell_length_b 3.822
_cell_length_c 9.372
_cell_angle_alpha 90.00
_cell_angle_beta 90.00
_cell_angle_gamma 90.00
loop_
_symmetry_equiv_pos_as_xyz
'x,y,z'
loop_
_atom_site_label
_atom_site_fract_x
_atom_site_fract_y
_atom_site_fract_z
_atom_site_occupancy
Cu1 0.000 0.000 0.500 1
C1 0.500 0.000 0.880 1
Al1 0.000 0.500 0.331 1
Al2 0.500 0.000 0.669 1
C2 0.000 0.500 0.120 1
Th1 0.500 0.000 0.141 1
Th2 0.000 0.500 0.859 1
Cu2 0.500 0.500 0.500 1
```

As for the electronic total energy: -51.3 eV per cell. The energy of formation from the pure elements is -0.30 eV per atom. Its symmetry is P4/nmm.

Entry 10:
A plane-wave DFT calculation with GGA-PBE was carried out for a relaxed structure of TiAlCu2C.

```
data_TiAlCu2C
_chemical_formula_sum 'Ti1 Al1 Cu2 C1'
_symmetry_space_group_name_H-M 'P 1'
_symmetry_Int_Tables_number 1
_cell_length_a 4.503
_cell_length_b 3.703
_cell_length_c 4.503
_cell_angle_alpha 90.00
_cell_angle_beta 90.00
_cell_angle_gamma 90.00
loop_
_symmetry_equiv_pos_as_xyz
'x,y,z'
loop_
_atom_site_label
_atom_site_fract_x
_atom_site_fract_y
_atom_site_fract_z
_atom_site_occupancy
C1 0.000 0.500 0.000 1
Cu1 0.000 0.000 0.500 1
Ti1 0.500 0.500 0.500 1
Al1 0.000 0.000 0.000 1
Cu2 0.500 0.000 0.000 1
```

As for the electronic total energy: -23.9 eV per cell. The energy of formation from the pure elements is 1.02 eV per atom. Its symmetry is P4/mmm.

Entry 11:
A plane-wave DFT calculation with GGA-PBE was carried out for a relaxed structure of Y2AlCuC.

```
data_Y2AlCuC
_chemical_formula_sum 'Y2 Al1 Cu1 C1'
_symmetry_space_group_name_H-M 'P 1'
_symmetry_Int_Tables_number 1
_cell_length_a 4.953
_cell_length_b 4.953
_cell_length_c 3.897
_cell_angle_alpha 90.00
_cell_angle_beta 90.00
_cell_angle_gamma 90.00
loop_
_symmetry_equiv_pos_as_xyz
'x,y,z'
loop_
_atom_site_label
_atom_site_fract_x
_atom_site_fract_y
_atom_site_fract_z
_atom_site_occupancy
Cu1 0.500 0.500 0.500 1
Y1 0.500 0.000 0.000 1
Y2 0.000 0.500 0.000 1
Al1 0.000 0.000 0.500 1
C1 0.000 0.000 0.000 1
```

As for the electronic total energy: -31.1 eV per cell. The energy of formation from the pure elements is -0.22 eV per atom. Its symmetry is P4/mmm.

Entry 12:
A plane-wave DFT calculation with GGA-PBE was carried out for a relaxed structure of Dy2AlC2.

```
data_Dy2AlC2
_chemical_formula_sum 'Dy4 Al2 C4'
_symmetry_space_group_name_H-M 'P 1'
_symmetry_Int_Tables_number 1
_cell_length_a 5.112
_cell_length_b 6.162
_cell_length_c 6.846
_cell_angle_alpha 117.04
_cell_angle_beta 90.00
_cell_angle_gamma 114.51
loop_
_symmetry_equiv_pos_as_xyz
'x,y,z'
loop_
_atom_site_label
_atom_site_fract_x
_atom_site_fract_y
_atom_site_fract_z
_atom_site_occupancy
C1 0.522 0.045 0.785 1
Dy1 0.034 0.068 0.766 1
Al1 0.634 0.267 0.127 1
C2 0.823 0.647 0.397 1
Dy2 0.328 0.655 0.408 1
Dy3 0.965 0.930 0.230 1
C3 0.176 0.351 0.599 1
Al2 0.365 0.731 0.870 1
Dy4 0.672 0.343 0.588 1
C4 0.477 0.953 0.212 1
```

As for the electronic total energy: -65.7 eV per cell. The energy of formation from the pure elements is -0.29 eV per atom. Its symmetry is C2/m.

Entry 13:
A plane-wave DFT calculation with GGA-PBE was carried out for a relaxed structure of DyAlC.

```
data_DyAlC
_chemical_formula_sum 'Dy2 Al2 C2'
_symmetry_space_group_name_H-M 'P 1'
_symmetry_Int_Tables_number 1
_cell_length_a 3.629
_cell_length_b 3.629
_cell_length_c 9.134
_cell_angle_alpha 101.46
_cell_angle_beta 101.46
_cell_angle_gamma 90.00
loop_
_symmetry_equiv_pos_as_xyz
'x,y,z'
loop_
_atom_site_label
_atom_site_fract_x
_atom_site_fract_y
_atom_site_fract_z
_atom_site_occupancy
C1 0.820 0.820 0.640 1
Al1 0.929 0.929 0.859 1
Al2 0.071 0.071 0.141 1
Dy1 0.682 0.682 0.364 1
Dy2 0.318 0.318 0.636 1
C2 0.180 0.180 0.360 1
```

As for the electronic total energy: -35.6 eV per cell. The energy of formation from the pure elements is -0.08 eV per atom. Its symmetry is I4/mmm. As for the energy relative to the lowest polymorph listed for this composition: 162 meV per atom.